A relaxed structure of PrDyEr2, computed with PBE.

Properties
crystal system: trigonal
excess energy over the best structure of this formula in the dataset: 8 meV per atom
calculated total energy: -4.603 eV per atom
energy of formation: 24 meV/atom

Structure (POSCAR):
```
PrDyEr2
1.0
1.791 1.034 11.567
-1.791 1.034 11.567
0.000 -2.068 11.567
Pr Dy Er
1 1 2
direct
0.000 0.000 0.000 Pr
0.166 0.166 0.166 Dy
0.581 0.581 0.581 Er
0.751 0.751 0.751 Er
```


A relaxed structure of Tm8HC3S4, computed with PBE.

Properties
crystal system: trigonal
calculated total energy: -6.491 eV per atom

Structure (POSCAR):
```
Tm8HC3S4
1.0
3.655 2.110 6.177
-3.655 2.110 6.177
0.000 -4.220 6.177
Tm H C S
8 1 3 4
direct
0.225 0.748 0.748 Tm
0.237 0.237 0.237 Tm
0.252 0.252 0.775 Tm
0.252 0.775 0.252 Tm
0.748 0.225 0.748 Tm
0.748 0.748 0.225 Tm
0.763 0.763 0.763 Tm
0.775 0.252 0.252 Tm
0.500 0.500 0.500 H
0.000 0.000 0.500 C
0.000 0.500 0.000 C
0.500 0.000 0.000 C
0.000 0.000 0.000 S
0.000 0.500 0.500 S
0.500 0.000 0.500 S
0.500 0.500 0.000 S
```


A relaxed structure of Cs2Sr3I8, computed with PBE.

Properties
crystal system: monoclinic
formation energy from raw total energies: -38.52 kcal/mol of atoms
calculated total energy: -3.144 eV per atom

Structure (POSCAR):
```
Cs2Sr3I8
1.0
9.352 -4.927 0.000
9.352 4.927 0.000
-2.669 0.000 8.062
Cs Sr I
2 3 8
direct
0.233 0.233 0.166 Cs
0.767 0.767 0.834 Cs
0.242 0.758 0.500 Sr
0.500 0.500 0.000 Sr
0.758 0.242 0.500 Sr
0.112 0.112 0.458 I
0.167 0.624 0.108 I
0.376 0.833 0.892 I
0.400 0.400 0.597 I
0.600 0.600 0.403 I
0.624 0.167 0.108 I
0.833 0.376 0.892 I
0.888 0.888 0.542 I
```


A relaxed structure of HfSc2Al2, computed with PBE.

Properties
crystal system: tetragonal
excess energy over the best structure of this formula in the dataset: 165 meV per atom
calculated total energy: -6.142 eV per atom
energy of formation: -121 meV/atom

Structure (POSCAR):
```
HfSc2Al2
1.0
8.213 0.000 0.000
0.000 8.213 0.000
0.000 0.000 3.019
Hf Sc Al
2 4 4
direct
0.000 0.000 0.000 Hf
0.500 0.500 0.000 Hf
0.123 0.377 0.000 Sc
0.377 0.877 0.000 Sc
0.623 0.123 0.000 Sc
0.877 0.623 0.000 Sc
0.176 0.676 0.500 Al
0.324 0.176 0.500 Al
0.676 0.824 0.500 Al
0.824 0.324 0.500 Al
```


A relaxed structure of ScCuPbCl6, computed with PBE.

Properties
crystal system: trigonal
formation energy from raw total energies: -31.56 kcal/mol of atoms
calculated total energy: -4.170 eV per atom

Structure (POSCAR):
```
ScCuPbCl6
1.0
6.527 0.000 0.000
-3.263 5.652 0.000
0.000 0.000 12.695
Sc Cu Pb Cl
2 2 2 12
direct
0.333 0.667 0.250 Sc
0.667 0.333 0.750 Sc
0.333 0.667 0.750 Cu
0.667 0.333 0.250 Cu
0.000 0.000 0.000 Pb
0.000 0.000 0.500 Pb
0.004 0.364 0.138 Cl
0.004 0.640 0.362 Cl
0.360 0.364 0.362 Cl
0.360 0.996 0.138 Cl
0.364 0.004 0.638 Cl
0.364 0.360 0.862 Cl
0.636 0.640 0.138 Cl
0.636 0.996 0.362 Cl
0.640 0.004 0.862 Cl
0.640 0.636 0.638 Cl
0.996 0.360 0.638 Cl
0.996 0.636 0.862 Cl
```


A relaxed structure of BaSb2TeP, computed with PBE.

Properties
crystal system: tetragonal
excess energy over the best structure of this formula in the dataset: 0 meV per atom
formation energy from raw total energies: -4.67 kcal/mol of atoms
calculated total energy: -3.946 eV per atom

Structure (POSCAR):
```
BaSb2TeP
1.0
5.318 0.000 0.000
0.000 5.318 0.000
0.000 0.000 5.613
Ba Sb Te P
1 2 1 1
direct
0.000 0.000 0.000 Ba
0.000 0.500 0.500 Sb
0.500 0.000 0.500 Sb
0.500 0.500 0.000 Te
0.500 0.500 0.500 P
```


A relaxed structure of Pm5PrAl2, computed with PBE.

Properties
crystal system: hexagonal
excess energy over the best structure of this formula in the dataset: 81 meV per atom
calculated total energy: -4.497 eV per atom
energy of formation: 5 meV/atom

Structure (POSCAR):
```
Pm5PrAl2
1.0
5.444 0.000 0.000
-2.722 4.715 0.000
0.000 0.000 20.090
Pm Pr Al
10 2 4
direct
0.000 0.000 0.154 Pm
0.000 0.000 0.346 Pm
0.000 0.000 0.654 Pm
0.000 0.000 0.846 Pm
0.333 0.667 0.057 Pm
0.333 0.667 0.250 Pm
0.333 0.667 0.443 Pm
0.667 0.333 0.557 Pm
0.667 0.333 0.750 Pm
0.667 0.333 0.943 Pm
0.333 0.667 0.750 Pr
0.667 0.333 0.250 Pr
0.333 0.667 0.598 Al
0.333 0.667 0.902 Al
0.667 0.333 0.098 Al
0.667 0.333 0.402 Al
```


A relaxed structure of Pm5Co2Pb2, computed with PBE.

Properties
crystal system: orthorhombic
calculated total energy: -5.295 eV per atom
energy of formation: -252 meV/atom

Structure (POSCAR):
```
Pm5Co2Pb2
1.0
8.028 -4.352 0.000
8.028 4.352 0.000
0.000 0.000 7.060
Pm Co Pb
10 4 4
direct
0.000 0.000 0.000 Pm
0.067 0.700 0.645 Pm
0.200 0.567 0.145 Pm
0.300 0.933 0.645 Pm
0.433 0.800 0.145 Pm
0.500 0.500 0.500 Pm
0.567 0.200 0.855 Pm
0.700 0.067 0.355 Pm
0.800 0.433 0.855 Pm
0.933 0.300 0.355 Pm
0.102 0.898 0.381 Co
0.398 0.602 0.881 Co
0.602 0.398 0.119 Co
0.898 0.102 0.619 Co
0.215 0.215 0.000 Pb
0.285 0.285 0.500 Pb
0.715 0.715 0.500 Pb
0.785 0.785 0.000 Pb
```


A relaxed structure of BaBr, computed with PBE.

Properties
crystal system: cubic
formation energy from raw total energies: -29.76 kcal/mol of atoms
calculated total energy: -3.088 eV per atom

Structure (POSCAR):
```
BaBr
1.0
9.154 0.000 0.000
0.000 9.154 0.000
0.000 0.000 9.154
Ba Br
6 6
direct
0.000 0.250 0.500 Ba
0.000 0.750 0.500 Ba
0.250 0.500 0.000 Ba
0.500 0.000 0.250 Ba
0.500 0.000 0.750 Ba
0.750 0.500 0.000 Ba
0.000 0.500 0.250 Br
0.000 0.500 0.750 Br
0.250 0.000 0.500 Br
0.500 0.250 0.000 Br
0.500 0.750 0.000 Br
0.750 0.000 0.500 Br
```


A relaxed structure of Li2Ta4O11, computed with PBE.

Properties
crystal system: trigonal
formation energy from raw total energies: -63.14 kcal/mol of atoms
calculated total energy: -8.960 eV per atom

Structure (POSCAR):
```
Li2Ta4O11
1.0
3.139 1.812 12.303
-3.139 1.812 12.303
0.000 -3.624 12.303
Li Ta O
4 8 22
direct
0.148 0.148 0.148 Li
0.352 0.352 0.352 Li
0.648 0.648 0.648 Li
0.852 0.852 0.852 Li
0.000 0.000 0.000 Ta
0.108 0.750 0.392 Ta
0.250 0.608 0.892 Ta
0.392 0.108 0.750 Ta
0.500 0.500 0.500 Ta
0.608 0.892 0.250 Ta
0.750 0.392 0.108 Ta
0.892 0.250 0.608 Ta
0.007 0.493 0.250 O
0.088 0.744 0.261 O
0.093 0.093 0.093 O
0.239 0.756 0.412 O
0.244 0.588 0.761 O
0.250 0.007 0.493 O
0.256 0.739 0.912 O
0.261 0.088 0.744 O
0.407 0.407 0.407 O
0.412 0.239 0.756 O
0.493 0.250 0.007 O
0.507 0.750 0.993 O
0.588 0.761 0.244 O
0.593 0.593 0.593 O
0.739 0.912 0.256 O
0.744 0.261 0.088 O
0.750 0.993 0.507 O
0.756 0.412 0.239 O
0.761 0.244 0.588 O
0.907 0.907 0.907 O
0.912 0.256 0.739 O
0.993 0.507 0.750 O
```


Number 1: total moment 0.00 Bohr magnetons per cell. Number 2: total moment 0.00 Bohr magnetons per cell. Number 3: total moment 0.00 Bohr magnetons per cell. Number 4: total moment 0.00 Bohr magnetons per cell. Number 5: total moment 0.22 Bohr magnetons per cell. Number 6: total moment 0.00 Bohr magnetons per cell. Number 7: total moment 0.00 Bohr magnetons per cell. Number 8: total moment 0.00 Bohr magnetons per cell. Number 9: total moment 0.00 Bohr magnetons per cell. Number 10: total moment 0.00 Bohr magnetons per cell.